[1]
TbThRh2: optimized geometry, PBE-GGA.

Unit cell a=5.6374 b=5.7294 c=11.5226 alpha=80.21 beta=90.00 gamma=90.00
Fractional positions:
Tb  0.7498  0.5496  0.8913
Tb  0.2502  0.4504  0.1087
Tb  0.2502  0.0496  0.3913
Tb  0.7498  0.9504  0.6087
Rh  0.2498  0.5453  0.8496
Rh  0.2500  0.9335  0.1438
Rh  0.7500  0.0665  0.8562
Rh  0.7502  0.4547  0.1504
Rh  0.2498  0.9547  0.6504
Rh  0.7502  0.0453  0.3496
Rh  0.7500  0.4335  0.6438
Rh  0.2500  0.5665  0.3562
Th  0.7500  0.9681  0.1115
Th  0.7500  0.5319  0.3885
Th  0.2500  0.4681  0.6115
Th  0.2500  0.0319  0.8885

## Properties
**E above lowest polymorph**: 101 meV per atom
**Energy of formation**: -18.68 kcal/mol of atoms
**Electronic total energy**: -0.5511 Ry per atom
**Magnetic moment**: 0.00 μB/cell
**N(E_F)**: 0.71 states/eV per atom
**ρ**: 10.81 g cm⁻³
**SG**: C2/m, No. 12

---

[2]
Tb3Th2Rh2: optimized geometry, PBE-GGA.

Unit cell a=3.7461 b=6.3446 c=8.8469 alpha=101.05 beta=102.22 gamma=107.17
Fractional positions:
Tb  0.8139  0.1991  0.4287
Tb  0.1861  0.8009  0.5713
Tb  0.5000  0.0000  0.0000
Th  0.6486  0.4773  0.8199
Th  0.3514  0.5227  0.1801
Rh  0.9398  0.1191  0.7606
Rh  0.0602  0.8809  0.2394

## Properties
**Energy of formation**: -12.62 kcal/mol of atoms
**Electronic total energy**: -0.4963 Ry per atom
**Magnetic moment**: 0.00 μB/cell
**N(E_F)**: 1.10 states/eV per atom
**ρ**: 10.08 g cm⁻³
**SG**: C2/m, No. 12

---

[3]
TbThRh: optimized geometry, PBE-GGA.

Unit cell a=3.6317 b=3.6317 c=6.1949 alpha=107.04 beta=107.04 gamma=90.00
Fractional positions:
Rh  0.6821  0.6821  0.3641
Th  0.3057  0.3057  0.6115
Tb  0.0122  0.0122  0.0244

## Properties
**E above lowest polymorph**: 116 meV per atom
**Energy of formation**: -11.44 kcal/mol of atoms
**Electronic total energy**: -0.5118 Ry per atom
**Magnetic moment**: 0.00 μB/cell
**N(E_F)**: 1.20 states/eV per atom
**ρ**: 11.03 g cm⁻³
**SG**: I4mm, No. 107

---

[4]
Tb2ThRh3: optimized geometry, PBE-GGA.

Unit cell a=4.9348 b=4.9348 c=6.0487 alpha=90.00 beta=90.00 gamma=120.00
Fractional positions:
Th  0.0000  0.0000  0.0000
Tb  0.6667  0.3333  0.3444
Tb  0.3333  0.6667  0.6556
Rh  0.6667  0.3333  0.8502
Rh  0.0000  0.0000  0.5000
Rh  0.3333  0.6667  0.1498

## Properties
**E above lowest polymorph**: 0 meV per atom
**Energy of formation**: -19.29 kcal/mol of atoms
**Electronic total energy**: -0.5360 Ry per atom
**Magnetic moment**: 0.00 μB/cell
**N(E_F)**: 0.30 states/eV per atom
**ρ**: 11.18 g cm⁻³
**SG**: P-3m1, No. 164

---

[5]
TbThRh: optimized geometry, PBE-GGA.

Unit cell a=5.9505 b=7.1106 c=7.9705 alpha=93.31 beta=90.00 gamma=90.00
Fractional positions:
Th  0.8549  0.3049  0.1238
Th  0.1451  0.6951  0.8762
Th  0.3549  0.1951  0.3762
Th  0.6451  0.8049  0.6238
Tb  0.8592  0.3298  0.6250
Tb  0.1408  0.6702  0.3750
Tb  0.6408  0.8298  0.1250
Tb  0.3592  0.1702  0.8750
Rh  0.8602  0.0379  0.8523
Rh  0.6398  0.5379  0.3523
Rh  0.3602  0.4621  0.6477
Rh  0.1398  0.9621  0.1477

## Properties
**E above lowest polymorph**: 128 meV per atom
**Energy of formation**: -11.17 kcal/mol of atoms
**Electronic total energy**: -0.5109 Ry per atom
**Magnetic moment**: 0.00 μB/cell
**N(E_F)**: 0.93 states/eV per atom
**ρ**: 9.74 g cm⁻³
**SG**: P2_1/c, No. 14

---

[6]
Tb2ThRh4: optimized geometry, PBE-GGA.

Unit cell a=4.7602 b=4.7602 c=8.3237 alpha=73.38 beta=73.38 gamma=60.00
Fractional positions:
Tb  0.7660  0.7660  0.7021
Tb  0.2340  0.2340  0.2979
Th  0.0000  0.0000  0.0000
Rh  0.6261  0.6261  0.1217
Rh  0.1154  0.1154  0.6537
Rh  0.8846  0.8846  0.3463
Rh  0.3739  0.3739  0.8783

## Properties
**Energy of formation**: -13.49 kcal/mol of atoms
**Electronic total energy**: -0.5269 Ry per atom
**Magnetic moment**: 0.00 μB/cell
**N(E_F)**: 0.42 states/eV per atom
**ρ**: 10.36 g cm⁻³
**SG**: R-3m, No. 166

---

Copy entry 6 word for word.
Tb2ThRh4: optimized geometry, PBE-GGA.

Unit cell a=4.7602 b=4.7602 c=8.3237 alpha=73.38 beta=73.38 gamma=60.00
Fractional positions:
Tb  0.7660  0.7660  0.7021
Tb  0.2340  0.2340  0.2979
Th  0.0000  0.0000  0.0000
Rh  0.6261  0.6261  0.1217
Rh  0.1154  0.1154  0.6537
Rh  0.8846  0.8846  0.3463
Rh  0.3739  0.3739  0.8783

## Properties
**Energy of formation**: -13.49 kcal/mol of atoms
**Electronic total energy**: -0.5269 Ry per atom
**Magnetic moment**: 0.00 μB/cell
**N(E_F)**: 0.42 states/eV per atom
**ρ**: 10.36 g cm⁻³
**SG**: R-3m, No. 166

---

Copy entry 5 word for word.
TbThRh: optimized geometry, PBE-GGA.

Unit cell a=5.9505 b=7.1106 c=7.9705 alpha=93.31 beta=90.00 gamma=90.00
Fractional positions:
Th  0.8549  0.3049  0.1238
Th  0.1451  0.6951  0.8762
Th  0.3549  0.1951  0.3762
Th  0.6451  0.8049  0.6238
Tb  0.8592  0.3298  0.6250
Tb  0.1408  0.6702  0.3750
Tb  0.6408  0.8298  0.1250
Tb  0.3592  0.1702  0.8750
Rh  0.8602  0.0379  0.8523
Rh  0.6398  0.5379  0.3523
Rh  0.3602  0.4621  0.6477
Rh  0.1398  0.9621  0.1477

## Properties
**E above lowest polymorph**: 128 meV per atom
**Energy of formation**: -11.17 kcal/mol of atoms
**Electronic total energy**: -0.5109 Ry per atom
**Magnetic moment**: 0.00 μB/cell
**N(E_F)**: 0.93 states/eV per atom
**ρ**: 9.74 g cm⁻³
**SG**: P2_1/c, No. 14

---

- Number 2 is which compound?
  Tb3Th2Rh2